NiSnN2O: optimized geometry, GGA+U.

Geometry as CIF:
```
data_NiSnN2O
_space_group_name_H-M_alt 'P 4/m m m'
_space_group_IT_number 123
_space_group_name_Hall '-P 4 2'
_cell_length_a 4.195
_cell_length_b 4.195
_cell_length_c 4.059
_cell_angle_alpha 90.00
_cell_angle_beta 90.00
_cell_angle_gamma 90.00
loop_
_atom_site_label
_atom_site_type_symbol
_atom_site_fract_x
_atom_site_fract_y
_atom_site_fract_z
Ni1 Ni 0.000 0.000 0.000
Sn1 Sn 0.500 0.500 0.500
N1 N 0.000 0.500 0.500
O1 O 0.500 0.500 0.000
```

Crystal system = tetragonal
E = -4.47 eV per atom
Density of states at the Fermi level = 0.289 states/eV/atom